[1]
{
  "formula": "SrLi2CdAg",
  "functional": "PBE-GGA",
  "state": "optimized geometry",
  "lattice_angstrom": [[5.0408, 0.0000, 0.0000], [0.0000, 5.0408, 0.0000], [0.0000, 0.0000, 5.3629]],
  "species": ["Sr", "Li", "Li", "Cd", "Ag"],
  "frac_coords": [[0.0000, 0.0000, 0.0000], [0.0000, 0.5000, 0.5000], [0.5000, 0.0000, 0.5000], [0.5000, 0.5000, 0.0000], [0.5000, 0.5000, 0.5000]],
  "e_above_lowest_polymorph_mev_per_atom": 105
}

[2]
{
  "formula": "Sr2LiCd4Ag3",
  "functional": "PBE-GGA",
  "state": "optimized geometry",
  "lattice_angstrom": [[4.4035, 0.0000, 0.0000], [0.0000, 4.4035, 0.0000], [0.0000, 0.0000, 13.2132]],
  "species": ["Sr", "Sr", "Li", "Cd", "Cd", "Cd", "Cd", "Ag", "Ag", "Ag"],
  "frac_coords": [[0.0000, 0.5000, 0.2394], [0.5000, 0.0000, 0.7606], [0.0000, 0.0000, 0.5000], [0.0000, 0.0000, 0.0000], [0.0000, 0.5000, 0.6400], [0.5000, 0.0000, 0.3600], [0.5000, 0.5000, 0.0000], [0.0000, 0.5000, 0.8540], [0.5000, 0.0000, 0.1460], [0.5000, 0.5000, 0.5000]]
}

[3]
{
  "formula": "SrLi2CdAg",
  "functional": "PBE-GGA",
  "state": "optimized geometry",
  "lattice_angstrom": [[13.4411, 0.0000, 0.0000], [0.0000, 4.4448, 0.0000], [-1.4528, 0.0000, 4.1807]],
  "species": ["Sr", "Sr", "Li", "Li", "Li", "Li", "Cd", "Cd", "Ag", "Ag"],
  "frac_coords": [[0.0000, 0.0000, 0.0000], [0.5000, 0.5000, 0.0000], [0.1181, 0.5000, 0.6181], [0.2683, 0.0000, 0.7683], [0.6181, 0.0000, 0.6181], [0.7683, 0.5000, 0.7683], [0.2550, 0.5000, 0.2546], [0.7550, 0.0000, 0.2546], [0.4050, 0.0000, 0.4052], [0.9050, 0.5000, 0.4052]],
  "e_above_lowest_polymorph_mev_per_atom": 0
}

[4]
{
  "formula": "SrLiCd4Ag2",
  "functional": "PBE-GGA",
  "state": "optimized geometry",
  "lattice_angstrom": [[2.4256, 1.4004, 9.0044], [-2.4256, 1.4004, 9.0044], [0.0000, -2.8009, 9.0044]],
  "species": ["Sr", "Li", "Cd", "Cd", "Cd", "Cd", "Ag", "Ag"],
  "frac_coords": [[0.0000, 0.0000, 0.0000], [0.5000, 0.5000, 0.5000], [0.1311, 0.1311, 0.1311], [0.4006, 0.4006, 0.4006], [0.5994, 0.5994, 0.5994], [0.8689, 0.8689, 0.8689], [0.2410, 0.2410, 0.2410], [0.7590, 0.7590, 0.7590]]
}

[5]
{
  "formula": "SrLi4CdAg2",
  "functional": "PBE-GGA",
  "state": "optimized geometry",
  "lattice_angstrom": [[2.3044, 1.3305, 9.2137], [-2.3044, 1.3305, 9.2137], [0.0000, -2.6609, 9.2137]],
  "species": ["Sr", "Li", "Li", "Li", "Li", "Cd", "Ag", "Ag"],
  "frac_coords": [[0.0000, 0.0000, 0.0000], [0.1320, 0.1320, 0.1320], [0.4044, 0.4044, 0.4044], [0.5956, 0.5956, 0.5956], [0.8680, 0.8680, 0.8680], [0.5000, 0.5000, 0.5000], [0.2388, 0.2388, 0.2388], [0.7612, 0.7612, 0.7612]]
}

[6]
{
  "formula": "Sr2Li12Cd3Ag",
  "functional": "PBE-GGA",
  "state": "optimized geometry",
  "lattice_angstrom": [[3.5439, 2.0461, 10.2312], [-3.5439, 2.0461, 10.2312], [0.0000, -4.0922, 10.2312]],
  "species": ["Sr", "Sr", "Li", "Li", "Li", "Li", "Li", "Li", "Li", "Li", "Li", "Li", "Li", "Li", "Cd", "Cd", "Cd", "Ag"],
  "frac_coords": [[0.1514, 0.1514, 0.1514], [0.8486, 0.8486, 0.8486], [0.0835, 0.0835, 0.6947], [0.0835, 0.6947, 0.0835], [0.1514, 0.5672, 0.5672], [0.3053, 0.9165, 0.9165], [0.4328, 0.4328, 0.8486], [0.4328, 0.8486, 0.4328], [0.5672, 0.1514, 0.5672], [0.5672, 0.5672, 0.1514], [0.6947, 0.0835, 0.0835], [0.8486, 0.4328, 0.4328], [0.9165, 0.3053, 0.9165], [0.9165, 0.9165, 0.3053], [0.0000, 0.5000, 0.5000], [0.5000, 0.0000, 0.5000], [0.5000, 0.5000, 0.0000], [0.5000, 0.5000, 0.5000]]
}

[7]
{
  "formula": "SrLiCdAg2",
  "functional": "PBE-GGA",
  "state": "optimized geometry",
  "lattice_angstrom": [[4.3270, 0.0000, 0.0000], [0.0000, 4.3270, 0.0000], [0.0000, 0.0000, 13.0722]],
  "species": ["Sr", "Sr", "Li", "Li", "Cd", "Cd", "Ag", "Ag", "Ag", "Ag"],
  "frac_coords": [[0.0000, 0.0000, 0.0000], [0.5000, 0.5000, 0.5000], [0.0000, 0.5000, 0.2500], [0.5000, 0.0000, 0.7500], [0.0000, 0.5000, 0.7500], [0.5000, 0.0000, 0.2500], [0.0000, 0.0000, 0.3926], [0.0000, 0.0000, 0.6074], [0.5000, 0.5000, 0.1074], [0.5000, 0.5000, 0.8926]],
  "e_above_lowest_polymorph_mev_per_atom": 0
}

[8]
{
  "formula": "SrLiCd2Ag",
  "functional": "PBE-GGA",
  "state": "optimized geometry",
  "lattice_angstrom": [[4.3522, 0.0000, 0.0000], [0.0000, 4.3837, 0.0000], [0.0000, 0.0000, 13.3964]],
  "species": ["Sr", "Sr", "Li", "Li", "Cd", "Cd", "Cd", "Cd", "Ag", "Ag"],
  "frac_coords": [[0.0000, 0.0000, 0.0000], [0.5000, 0.5000, 0.5000], [0.0000, 0.5000, 0.7631], [0.5000, 0.0000, 0.2631], [0.0000, 0.0000, 0.6171], [0.0000, 0.5000, 0.2642], [0.5000, 0.0000, 0.7642], [0.5000, 0.5000, 0.1171], [0.0000, 0.0000, 0.4030], [0.5000, 0.5000, 0.9030]],
  "e_above_lowest_polymorph_mev_per_atom": 0
}

[9]
{
  "formula": "Sr2Li3CdAg4",
  "functional": "PBE-GGA",
  "state": "optimized geometry",
  "lattice_angstrom": [[4.6316, 0.0000, 0.0000], [0.0000, 4.6316, 0.0000], [0.0000, 0.0000, 11.0523]],
  "species": ["Sr", "Sr", "Li", "Li", "Li", "Cd", "Ag", "Ag", "Ag", "Ag"],
  "frac_coords": [[0.0000, 0.5000, 0.2402], [0.5000, 0.0000, 0.7598], [0.0000, 0.5000, 0.8888], [0.5000, 0.0000, 0.1112], [0.5000, 0.5000, 0.5000], [0.0000, 0.0000, 0.5000], [0.0000, 0.0000, 0.0000], [0.0000, 0.5000, 0.6481], [0.5000, 0.0000, 0.3519], [0.5000, 0.5000, 0.0000]]
}

[10]
{
  "formula": "SrLiCdAg2",
  "functional": "PBE-GGA",
  "state": "optimized geometry",
  "lattice_angstrom": [[4.9356, 0.0000, 0.0000], [0.0000, 4.9356, 0.0000], [0.0000, 0.0000, 4.9649]],
  "species": ["Sr", "Li", "Cd", "Ag", "Ag"],
  "frac_coords": [[0.0000, 0.0000, 0.0000], [0.5000, 0.5000, 0.5000], [0.5000, 0.5000, 0.0000], [0.0000, 0.5000, 0.5000], [0.5000, 0.0000, 0.5000]],
  "e_above_lowest_polymorph_mev_per_atom": 168
}

[11]
{
  "formula": "SrLiCdAg3",
  "functional": "PBE-GGA",
  "state": "optimized geometry",
  "lattice_angstrom": [[3.1472, -6.7924, 0.0000], [3.1472, 6.7924, 0.0000], [0.0000, 0.0000, 6.3849]],
  "species": ["Sr", "Sr", "Li", "Li", "Cd", "Cd", "Ag", "Ag", "Ag", "Ag", "Ag", "Ag"],
  "frac_coords": [[0.2007, 0.7993, 0.7500], [0.7993, 0.2007, 0.2500], [0.4250, 0.5750, 0.7500], [0.5750, 0.4250, 0.2500], [0.1490, 0.8510, 0.2500], [0.8510, 0.1490, 0.7500], [0.2259, 0.2259, 0.0000], [0.2259, 0.2259, 0.5000], [0.3635, 0.6365, 0.2500], [0.6365, 0.3635, 0.7500], [0.7741, 0.7741, 0.0000], [0.7741, 0.7741, 0.5000]]
}

[12]
{
  "formula": "SrLiCd3Ag",
  "functional": "PBE-GGA",
  "state": "optimized geometry",
  "lattice_angstrom": [[3.3696, -6.9047, 0.0000], [3.3696, 6.9047, 0.0000], [0.0000, 0.0000, 6.3086]],
  "species": ["Sr", "Sr", "Li", "Li", "Cd", "Cd", "Cd", "Cd", "Cd", "Cd", "Ag", "Ag"],
  "frac_coords": [[0.2106, 0.7894, 0.7500], [0.7894, 0.2106, 0.2500], [0.4300, 0.5700, 0.7500], [0.5700, 0.4300, 0.2500], [0.2140, 0.2140, 0.0000], [0.2140, 0.2140, 0.5000], [0.3596, 0.6404, 0.2500], [0.6404, 0.3596, 0.7500], [0.7860, 0.7860, 0.0000], [0.7860, 0.7860, 0.5000], [0.1516, 0.8484, 0.2500], [0.8484, 0.1516, 0.7500]]
}

| no. | formation energy (eV per atom) |
| --- | --- |
| 1 | -0.082 |
| 2 | -0.230 |
| 3 | -0.188 |
| 4 | -0.191 |
| 5 | -0.156 |
| 6 | 0.024 |
| 7 | -0.260 |
| 8 | -0.256 |
| 9 | -0.217 |
| 10 | -0.091 |
| 11 | -0.149 |
| 12 | -0.166 |